Record 1
Below is crystalline Sr2Ca3Pd2 at its relaxed geometry, with properties calculated at the GGA-PBE level.

Output
* energy of formation: -0.46 eV per atom
* space group: No. 12

Lattice parameters (Å, degrees): 6.7592 6.7592 9.2440 113.10 113.10 36.39
Element x y z (fractional)
Sr (0.1618, 0.1618, 0.3026)
Sr (0.8382, 0.8382, 0.6974)
Ca (0.3719, 0.3719, 0.0703)
Ca (0.5000, 0.5000, 0.5000)
Ca (0.6281, 0.6281, 0.9297)
Pd (0.1646, 0.1646, 0.7259)
Pd (0.8354, 0.8354, 0.2741)


Record 2
Below is crystalline LiAlPb2 at its relaxed geometry, with properties calculated at the GGA-PBE level.

Output
* energy of formation: 0.03 eV per atom
* space group: No. 65

Lattice parameters (Å, degrees): 3.4106 3.4106 8.2588 90.00 90.00 90.27
Element x y z (fractional)
Li (0.0000, 0.0000, 0.0000)
Al (0.0000, 0.0000, 0.5000)
Pb (0.5000, 0.5000, 0.2423)
Pb (0.5000, 0.5000, 0.7577)


Record 3
Below is crystalline Sr4Li2Ag3 at its relaxed geometry, with properties calculated at the GGA-PBE level.

Output
* energy of formation: -0.15 eV per atom
* space group: No. 12

Lattice parameters (Å, degrees): 9.3950 9.3950 8.0192 107.22 107.22 24.74
Element x y z (fractional)
Sr (0.0645, 0.0645, 0.3604)
Sr (0.2515, 0.2515, 0.7635)
Sr (0.7485, 0.7485, 0.2365)
Sr (0.9355, 0.9355, 0.6396)
Li (0.0983, 0.0983, 0.9598)
Li (0.9017, 0.9017, 0.0402)
Ag (0.4043, 0.4043, 0.2725)
Ag (0.5000, 0.5000, 0.0000)
Ag (0.5957, 0.5957, 0.7275)